DFT (GGA-PBEsol) results for a relaxed structure of TbCo2B2C.

POSCAR file:
```
TbCo2B2C
1.0
-0.016 2.770 -2.152
-0.249 -2.147 -2.762
-4.953 -0.107 2.757
Tb C B Co
1 1 2 2
direct
0.500 0.500 0.000
0.000 0.000 0.000
0.852 0.852 0.705
0.148 0.148 0.295
0.250 0.750 0.500
0.750 0.250 0.500
```

Summary:
N(E_F): 5.24 states/eV/f.u.
Space-group type: I4/mmm, No. 139


DFT (GGA-PBEsol) results for a relaxed structure of TmCo2B2C.

POSCAR file:
```
TmCo2B2C
1.0
-0.782 3.359 -0.119
-3.336 -0.761 0.443
2.664 -0.976 4.941
C Tm Co B
1 1 2 2
direct
0.000 0.000 0.000
0.500 0.500 0.000
0.250 0.750 0.500
0.750 0.250 0.500
0.854 0.854 0.708
0.146 0.146 0.292
```

Summary:
N(E_F): 5.16 states/eV/f.u.
Space-group type: I4/mmm, No. 139


DFT (GGA-PBEsol) results for a relaxed structure of YCo2B2C.

POSCAR file:
```
YCo2B2C
1.0
3.491 0.000 0.000
0.000 3.491 0.000
-1.745 -1.745 5.127
Y C B Co
1 1 2 2
direct
0.500 0.500 0.000
0.000 0.000 0.000
0.853 0.853 0.706
0.147 0.147 0.294
0.250 0.750 0.500
0.750 0.250 0.500
```

Summary:
N(E_F): 5.27 states/eV/f.u.
Space-group type: I4/mmm, No. 139


DFT (GGA-PBEsol) results for a relaxed structure of Cr6BC3.

POSCAR file:
```
Cr6BC3
1.0
2.815 0.000 0.000
-1.407 4.554 0.000
0.000 0.000 6.871
Cr B C
6 1 3
direct
0.146 0.291 0.815
0.863 0.725 0.683
0.146 0.291 0.185
0.863 0.725 0.317
0.397 0.794 0.000
0.584 0.167 0.500
0.245 0.490 0.500
0.503 0.005 0.757
0.503 0.005 0.243
0.752 0.505 0.000
```

Summary:
N(E_F): 6.60 states/eV/f.u.
Space-group type: Amm2, No. 38


Which ΔE_f belongs to each record? In order, -0.49 -0.51 -0.50 -0.24 eV/atom.